Entry 1:
Material: Te4Au5
Method: DFT, PBE
State: relaxed

a b c (Å): 8.1975 8.1975 8.1975
angles (deg): 93.42 93.42 151.74
With the nearest neighbours (Å) after each atom.
Atoms (fractional coordinates):
Au1 0.6858 0.3142 0.0000  2 Au 2.86, 4 Te 2.95
Au2 0.3142 0.3142 0.6283  2 Au 2.86, 4 Te 2.95
Au3 0.3142 0.6858 0.0000  2 Au 2.86, 4 Te 2.95
Au4 0.0000 0.0000 0.0000  4 Te 2.68
Au5 0.6858 0.6858 0.3717  2 Au 2.86, 4 Te 2.95
Te1 0.7613 0.0000 0.7613  5 Au 2.68-2.95
Te2 0.0000 0.7613 0.7613  5 Au 2.68-2.95
Te3 0.2387 0.0000 0.2387  5 Au 2.68-2.95
Te4 0.0000 0.2387 0.2387  5 Au 2.68-2.95

Output
space-group type: I4/mmm
formation energy (no corrections): 0.121 eV per atom
energy: -27.87 eV/cell


Entry 2:
Material: NpAsH
Method: DFT, PBE
State: relaxed

a b c (Å): 3.8525 3.8252 3.8252
angles (deg): 120.00 90.00 90.00
With the nearest neighbours (Å) after each atom.
Atoms (fractional coordinates):
Np1 0.1667 0.0000 0.0000  3 H 2.21
H1 0.1666 0.3333 0.6667  3 Np 2.21
As1 0.6667 0.6667 0.3333  6 H 2.93, 6 Np 2.93

Output
space-group type: P-6m2
energy: -22.42 eV/cell


Entry 3:
Material: Ce5Al3Zn3
Method: DFT, PBE
State: relaxed

a b c (Å): 2.9871 9.6814 9.6814
angles (deg): 120.00 90.00 90.00
With the nearest neighbours (Å) after each atom.
Atoms (fractional coordinates):
Zn1 0.5000 0.8522 0.0000  2 Zn 2.48, 2 Al 2.58
Zn2 0.5000 0.1478 0.1478  2 Zn 2.48, 2 Al 2.58
Zn3 0.5000 0.0000 0.8522  2 Zn 2.48, 2 Al 2.58
Al1 0.0000 0.3656 0.3656  2 Zn 2.58
Al2 0.0000 0.6344 0.0000  2 Zn 2.58
Al3 0.0000 0.0000 0.6344  2 Zn 2.58
Ce1 0.5000 0.3563 0.0000  4 Ce 2.99-3.12, 2 Zn 3.00, 2 Al 3.08
Ce2 0.5000 0.6437 0.6437  4 Ce 2.99-3.12, 2 Zn 3.00, 2 Al 3.08
Ce3 0.5000 0.3333 0.6667  5 Ce 2.99-3.12
Ce4 0.5000 0.6667 0.3333  5 Ce 2.99-3.12
Ce5 0.5000 0.0000 0.3563  4 Ce 2.99-3.12, 2 Zn 3.00, 2 Al 3.08

Output
space-group type: P-62m
ΔE_f: 0 kJ/mol of formula units
energy: -44.72 eV/cell


Entry 4:
Material: Ti7Br12Cl
Method: DFT, PBE
State: relaxed

a b c (Å): 8.6456 8.6456 8.6456
angles (deg): 108.61 108.61 108.61
With the nearest neighbours (Å) after each atom.
Atoms (fractional coordinates):
Br1 0.4430 0.1510 0.3684  3 Ti 2.67-2.72
Br2 0.8490 0.6316 0.5570  3 Ti 2.67-2.72
Br3 0.6940 0.2237 0.0864  2 Ti 2.58-2.63
Br4 0.7763 0.9136 0.3060  2 Ti 2.58-2.63
Br5 0.5570 0.8490 0.6316  3 Ti 2.67-2.72
Br6 0.3060 0.7763 0.9136  2 Ti 2.58-2.63
Br7 0.9136 0.3060 0.7763  2 Ti 2.58-2.63
Br8 0.3684 0.4430 0.1510  3 Ti 2.67-2.72
Br9 0.0864 0.6940 0.2237  2 Ti 2.58-2.63
Br10 0.2237 0.0864 0.6940  2 Ti 2.58-2.63
Br11 0.6316 0.5570 0.8490  3 Ti 2.67-2.72
Br12 0.1510 0.3684 0.4430  3 Ti 2.67-2.72
Ti1 0.0825 0.0103 0.2875  1 Cl 2.32, 1 Br 2.58
Ti2 0.7125 0.9175 0.9897  1 Cl 2.32, 1 Br 2.58
Ti3 0.0103 0.2875 0.0825  1 Cl 2.32, 1 Br 2.58
Ti4 0.5000 0.5000 0.5000  6 Br 2.67
Ti5 0.2875 0.0825 0.0103  1 Cl 2.32, 1 Br 2.58
Ti6 0.9897 0.7125 0.9175  1 Cl 2.32, 1 Br 2.58
Ti7 0.9175 0.9897 0.7125  1 Cl 2.32, 1 Br 2.58
Cl1 0.0000 0.0000 0.0000  6 Ti 2.32

Output
space-group type: R-3
formation energy (no corrections): -0.917 eV per atom
energy: -95.53 eV/cell


Entry 5:
Material: BaLiIn2
Method: DFT, PBE
State: relaxed

a b c (Å): 4.7185 4.9620 5.3234
angles (deg): 90.00 90.00 90.00
With the nearest neighbours (Å) after each atom.
Atoms (fractional coordinates):
Li1 0.5000 0.0000 0.5000  4 Ba 3.42, 8 In 3.56-3.64
In1 0.0000 0.0000 0.0000  4 In 3.42, 4 Li 3.56, 4 Ba 3.64
In2 0.5000 0.5000 0.0000  4 In 3.42, 4 Ba 3.56, 4 Li 3.64
Ba1 0.0000 0.5000 0.5000  4 Li 3.42, 8 In 3.56-3.64

Output
space-group type: Pmmm
ΔE_f: -56 kJ/mol of formula units
energy: -9.89 eV/cell


Entry 6:
Material: PrTmTh2N4
Method: DFT, PBE
State: relaxed

a b c (Å): 3.6187 6.2157 6.2900
angles (deg): 70.50 90.00 90.00
With the nearest neighbours (Å) after each atom.
Atoms (fractional coordinates):
Th1 0.0000 0.0000 0.0000  6 N 2.58-2.59
Th2 0.5000 0.0000 0.5000  6 N 2.50
N1 0.0000 0.2418 0.2639  3 Th 2.50-2.58, 1 Tm 2.52, 2 Pr 2.61
N2 0.5000 0.7489 0.2610  3 Th 2.50-2.59, 2 Tm 2.52, 1 Pr 2.60
N3 0.0000 0.7582 0.7361  3 Th 2.50-2.58, 1 Tm 2.52, 2 Pr 2.61
N4 0.5000 0.2511 0.7390  3 Th 2.50-2.59, 2 Tm 2.52, 1 Pr 2.60
Tm1 0.0000 0.5000 0.5000  6 N 2.52
Pr1 0.5000 0.5000 0.0000  6 N 2.60-2.61

Output
space-group type: P2/m
formation energy (no corrections): -1.543 eV per atom
energy: -69.73 eV/cell


Entry 7:
Material: Zr2ScCdH
Method: DFT, PBE
State: relaxed

a b c (Å): 4.3849 4.3849 4.7410
angles (deg): 90.00 90.00 90.00
With the nearest neighbours (Å) after each atom.
Atoms (fractional coordinates):
Zr1 0.0000 0.5000 0.0000  2 H 2.19
Zr2 0.5000 0.0000 0.0000  2 H 2.19
Sc1 0.5000 0.5000 0.5000  4 Cd 3.10, 8 Zr 3.23
Cd1 0.0000 0.0000 0.5000  2 H 2.37
H1 0.0000 0.0000 0.0000  4 Zr 2.19, 2 Cd 2.37

Output
space-group type: P4/mmm
energy: -28.33 eV/cell


Entry 8:
Material: BaCaLa2Ni
Method: DFT, PBE
State: relaxed

a b c (Å): 5.7943 6.1748 5.7943
angles (deg): 90.00 90.00 90.00
With the nearest neighbours (Å) after each atom.
Atoms (fractional coordinates):
La1 0.0000 0.0000 0.5000  2 Ca 2.90
La2 0.5000 0.0000 0.0000  2 Ca 2.90
Ni1 0.5000 0.5000 0.5000  4 Ba 4.10, 8 La 4.23
Ca1 0.0000 0.0000 0.0000  4 La 2.90, 2 Ba 3.09
Ba1 0.0000 0.5000 0.0000  2 Ca 3.09

Output
space-group type: P4/mmm
ΔE_f: 601 kJ/mol of formula units
energy: -13.33 eV/cell


Entry 9:
Material: Tb4PmHo
Method: DFT, PBE
State: relaxed

a b c (Å): 3.5621 9.4522 11.8578
angles (deg): 148.78 89.97 100.88
With the nearest neighbours (Å) after each atom.
Atoms (fractional coordinates):
Tb1 0.8313 0.6634 0.4988  7 Tb 3.54-3.58, 3 Ho 3.56-3.57, 2 Pm 3.58-3.59
Tb2 0.3348 0.6701 0.0015  2 Ho 3.56, 7 Tb 3.56-3.60, 3 Pm 3.58
Tb3 0.6650 0.3299 0.9984  2 Ho 3.56, 7 Tb 3.56-3.60, 3 Pm 3.58
Tb4 0.1689 0.3366 0.5013  7 Tb 3.54-3.58, 3 Ho 3.56-3.57, 2 Pm 3.59
Ho1 0.9999 0.0001 0.0000  10 Tb 3.56-3.57, 2 Ho 3.56
Pm1 0.5001 0.9997 0.4999  2 Pm 3.56, 10 Tb 3.58-3.59

Output
space-group type: C2/m
ΔE_f: 9 kJ/mol of formula units
energy: -27.75 eV/cell


Entry 10:
Material: ZnGa3
Method: DFT, PBE
State: relaxed

a b c (Å): 4.6878 4.6878 4.6878
angles (deg): 60.00 60.00 60.00
With the nearest neighbours (Å) after each atom.
Atoms (fractional coordinates):
Ga1 0.2500 0.2500 0.2500  4 Zn 2.87, 4 Ga 2.87
Ga2 0.0000 0.0000 0.0000  8 Ga 2.87
Ga3 0.7500 0.7500 0.7500  4 Zn 2.87, 4 Ga 2.87
Zn1 0.5000 0.5000 0.5000  8 Ga 2.87

Output
space-group type: Fm-3m
ΔE_f: 38 kJ/mol of formula units
energy: -9.96 eV/cell


Entry 11:
Material: TbDy5Tl4
Method: DFT, PBE
State: relaxed

a b c (Å): 3.6194 3.6194 21.6773
angles (deg): 90.00 90.00 90.00
With the nearest neighbours (Å) after each atom.
Atoms (fractional coordinates):
Dy1 0.5000 0.5000 0.1141  4 Tl 3.30, 4 Tb 3.56, 4 Dy 3.62
Dy2 0.5000 0.5000 0.6936  8 Tl 3.30-3.31, 4 Dy 3.62
Dy3 0.5000 0.5000 0.5000  8 Tl 3.31, 4 Dy 3.62
Dy4 0.5000 0.5000 0.8859  4 Tl 3.30, 4 Tb 3.56, 4 Dy 3.62
Dy5 0.5000 0.5000 0.3064  8 Tl 3.30-3.31, 4 Dy 3.62
Tl1 0.0000 0.0000 0.7897  8 Dy 3.30, 4 Tl 3.62
Tl2 0.0000 0.0000 0.4035  8 Dy 3.31, 4 Tl 3.62
Tl3 0.0000 0.0000 0.2103  8 Dy 3.30, 4 Tl 3.62
Tl4 0.0000 0.0000 0.5965  8 Dy 3.31, 4 Tl 3.62
Tb1 0.0000 0.0000 0.0000  8 Dy 3.56, 4 Tb 3.62

Output
space-group type: P4/mmm
ΔE_f: -264 kJ/mol of formula units
energy: -39.84 eV/cell


Entry 12:
Material: TmPuFeCo
Method: DFT, PBE
State: relaxed

a b c (Å): 4.6684 4.6684 4.6684
angles (deg): 60.00 60.00 60.00
With the nearest neighbours (Å) after each atom.
Atoms (fractional coordinates):
Co1 0.2500 0.2500 0.2500  4 Tm 2.86, 4 Pu 2.86
Fe1 0.7500 0.7500 0.7500  4 Tm 2.86, 4 Pu 2.86
Tm1 0.5000 0.5000 0.5000  4 Co 2.86, 4 Fe 2.86
Pu1 0.0000 0.0000 0.0000  4 Fe 2.86, 4 Co 2.86

Output
space-group type: F-43m
ΔE_f: -6 kJ/mol of formula units
energy: -34.43 eV/cell